(1)
A plane-wave DFT calculation with PBE was carried out for crystalline KSrLiMg2 at its relaxed geometry.

Geometry as POSCAR:
```
KSrLiMg2
1.0
6.183 0.000 0.000
0.000 6.183 0.000
0.000 0.000 6.886
K Sr Li Mg
1 1 1 2
direct
0.000 0.000 0.000
0.000 0.000 0.500
0.500 0.500 0.500
0.000 0.500 0.000
0.500 0.000 0.000
```

Calculated values
E, eV per atom: -0.754

***

(2)
A plane-wave DFT calculation with PBE was carried out for crystalline NpIn2Sb at its relaxed geometry.

Geometry as POSCAR:
```
NpIn2Sb
1.0
-2.165 2.185 5.450
2.165 -2.185 5.450
2.165 2.185 -5.450
Np In Sb
1 2 1
direct
0.000 0.000 0.000
0.250 0.750 0.500
0.750 0.250 0.500
0.500 0.500 0.000
```

Calculated values
ΔE to the lowest computed polymorph, eV per atom: 0.049
Energy relative to the elements, uncorrected, eV/atom: -0.08
E, eV per atom: -5.713

***

(3)
A plane-wave DFT calculation with PBE was carried out for crystalline TcAsW2 at its relaxed geometry.

Geometry as POSCAR:
```
TcAsW2
1.0
2.581 -4.117 0.000
2.581 4.117 0.000
0.000 0.000 2.936
Tc As W
1 1 2
direct
0.000 0.000 0.000
0.500 0.500 0.000
0.000 0.500 0.500
0.500 0.000 0.500
```

Calculated values
E, eV per atom: -9.870

***

(4)
A plane-wave DFT calculation with PBE was carried out for crystalline YIn2BPd at its relaxed geometry.

Geometry as POSCAR:
```
YIn2BPd
1.0
5.027 0.000 0.000
0.000 5.027 0.000
0.000 0.000 5.330
Y In B Pd
1 2 1 1
direct
0.000 0.000 0.000
0.000 0.500 0.500
0.500 0.000 0.500
0.500 0.500 0.000
0.000 0.000 0.500
```

Calculated values
E, eV per atom: -4.148

***

(5)
A plane-wave DFT calculation with PBE was carried out for crystalline CdNiPb2 at its relaxed geometry.

Geometry as POSCAR:
```
CdNiPb2
1.0
-2.441 2.441 8.869
2.441 -2.441 8.869
2.441 2.441 -8.869
Cd Ni Pb
2 2 4
direct
0.000 0.000 0.000
0.750 0.250 0.500
0.250 0.750 0.500
0.500 0.500 0.000
0.171 0.625 0.046
0.375 0.421 0.546
0.579 0.125 0.954
0.875 0.829 0.454
```

Calculated values
ΔE to the lowest computed polymorph, eV per atom: 0.272
E, eV per atom: -3.149

***

(6)
A plane-wave DFT calculation with PBE was carried out for crystalline Si3AsN at its relaxed geometry.

Geometry as POSCAR:
```
Si3AsN
1.0
4.754 0.000 0.000
0.000 4.754 0.000
0.000 0.000 4.754
Si As N
3 1 1
direct
0.000 0.000 0.500
0.000 0.500 0.000
0.500 0.000 0.000
0.000 0.000 0.000
0.500 0.500 0.500
```

Calculated values
ΔE to the lowest computed polymorph, eV per atom: 1.373
Energy relative to the elements, uncorrected, eV/atom: 2.09
E, eV per atom: -3.756